The following is a DFT calculation (PBE) of GeB3Os after structural relaxation.

The structure in CIF format:
```
data_GeB3Os
_space_group_name_H-M_alt 'P 1'
_space_group_IT_number 1
_cell_length_a 4.135
_cell_length_b 4.135
_cell_length_c 4.135
_cell_angle_alpha 90.00
_cell_angle_beta 90.00
_cell_angle_gamma 90.00
loop_
_space_group_symop_operation_xyz
'x,y,z'
loop_
_atom_site_label
_atom_site_fract_x
_atom_site_fract_y
_atom_site_fract_z
_atom_site_occupancy
Ge1 0.500 0.500 0.500 1
B1 0.000 0.500 0.000 1
B2 0.000 0.000 0.500 1
B3 0.500 0.000 0.000 1
Os1 0.000 0.000 0.000 1
```

formation energy from the elements	535	kJ/mol of formula units
DOS(E_F)	0.773	states/eV/atom
total magnetization	0.0	μB/f.u.
ρ	6937	kg/m³
polymorph energy (0 for the lowest one)	0.0	kJ per mole of atoms
total energy	-30.3	eV per cell